# SCAN Sr2ZnSb, single point on PBEsol structure
data_Sr2ZnSb
_chemical_formula_sum 'Sr2 Zn1 Sb1'
_cell_length_a 4.524
_cell_length_b 6.417
_cell_length_c 6.417
_cell_angle_alpha 42.40
_cell_angle_beta 90.00
_cell_angle_gamma 90.00
_space_group_name_H-M_alt 'P 1'
_space_group_IT_number 1
_space_group_name_Hall 'P 1'
loop_
_atom_site_label
_atom_site_type_symbol
_atom_site_fract_x
_atom_site_fract_y
_atom_site_fract_z
Sr1 Sr 0.000 0.000 0.000
Sr2 Sr 0.500 0.279 0.279
Zn1 Zn 0.000 0.719 0.719
Sb1 Sb 0.500 0.568 0.568
# ΔE_f (raw)	-0.74	eV/atom
# calculated total energy	-98.27	eV/cell

***

# SCAN KAsIN2, single point on PBEsol structure
data_KAsIN2
_chemical_formula_sum 'K1 As1 I1 N2'
_cell_length_a 4.799
_cell_length_b 4.799
_cell_length_c 6.748
_cell_angle_alpha 90.00
_cell_angle_beta 90.00
_cell_angle_gamma 90.00
_space_group_name_H-M_alt 'P 1'
_space_group_IT_number 1
_space_group_name_Hall 'P 1'
loop_
_atom_site_label
_atom_site_type_symbol
_atom_site_fract_x
_atom_site_fract_y
_atom_site_fract_z
K1 K 0.000 0.000 0.000
As1 As 0.500 0.500 0.500
I1 I 0.000 0.000 0.500
N1 N 0.000 0.500 0.000
N2 N 0.500 0.000 0.000
# ΔE_f (raw)	1.94	eV/atom
# calculated total energy	-74.15	eV/cell

***

# SCAN Sc2SbRu, single point on PBEsol structure
data_Sc2SbRu
_chemical_formula_sum 'Sc2 Sb1 Ru1'
_cell_length_a 4.982
_cell_length_b 4.982
_cell_length_c 4.982
_cell_angle_alpha 128.70
_cell_angle_beta 128.70
_cell_angle_gamma 75.49
_space_group_name_H-M_alt 'P 1'
_space_group_IT_number 1
_space_group_name_Hall 'P 1'
loop_
_atom_site_label
_atom_site_type_symbol
_atom_site_fract_x
_atom_site_fract_y
_atom_site_fract_z
Sc1 Sc 0.250 0.750 0.500
Sc2 Sc 0.750 0.250 0.500
Sb1 Sb 0.000 0.000 0.000
Ru1 Ru 0.500 0.500 0.000
# ΔE_f (raw)	-0.62	eV/atom
# calculated total energy	-103.03	eV/cell

***

# SCAN LaAlRe, single point on PBEsol structure
data_LaAlRe
_chemical_formula_sum 'La1 Al1 Re1'
_cell_length_a 4.556
_cell_length_b 4.556
_cell_length_c 4.556
_cell_angle_alpha 60.00
_cell_angle_beta 60.00
_cell_angle_gamma 60.00
_space_group_name_H-M_alt 'P 1'
_space_group_IT_number 1
_space_group_name_Hall 'P 1'
loop_
_atom_site_label
_atom_site_type_symbol
_atom_site_fract_x
_atom_site_fract_y
_atom_site_fract_z
La1 La 0.000 0.000 0.000
Al1 Al 0.250 0.250 0.250
Re1 Re 0.500 0.500 0.500
# calculated total energy	-120.09	eV/cell
# energy of formation from the pure elements	0.621	eV/atom

***

# SCAN InBiIr3, single point on PBEsol structure
data_InBiIr3
_chemical_formula_sum 'In1 Bi1 Ir3'
_cell_length_a 4.821
_cell_length_b 4.821
_cell_length_c 4.821
_cell_angle_alpha 90.00
_cell_angle_beta 90.00
_cell_angle_gamma 90.00
_space_group_name_H-M_alt 'P 1'
_space_group_IT_number 1
_space_group_name_Hall 'P 1'
loop_
_atom_site_label
_atom_site_type_symbol
_atom_site_fract_x
_atom_site_fract_y
_atom_site_fract_z
In1 In 0.000 0.000 0.000
Bi1 Bi 0.500 0.500 0.500
Ir1 Ir 0.000 0.000 0.500
Ir2 Ir 0.000 0.500 0.000
Ir3 Ir 0.500 0.000 0.000
# calculated total energy	-315.68	eV/cell
# energy of formation from the pure elements	1.918	eV/atom

***

# SCAN GeAu3Cl, single point on PBEsol structure
data_GeAu3Cl
_chemical_formula_sum 'Ge1 Au3 Cl1'
_cell_length_a 4.839
_cell_length_b 4.839
_cell_length_c 4.839
_cell_angle_alpha 90.00
_cell_angle_beta 90.00
_cell_angle_gamma 90.00
_space_group_name_H-M_alt 'P 1'
_space_group_IT_number 1
_space_group_name_Hall 'P 1'
loop_
_atom_site_label
_atom_site_type_symbol
_atom_site_fract_x
_atom_site_fract_y
_atom_site_fract_z
Ge1 Ge 0.000 0.000 0.000
Au1 Au 0.000 0.000 0.500
Au2 Au 0.000 0.500 0.000
Au3 Au 0.500 0.000 0.000
Cl1 Cl 0.500 0.500 0.500
# ΔE_f (raw)	0.43	eV/atom
# calculated total energy	-232.38	eV/cell

***

# SCAN BeSiRuBr2, single point on PBEsol structure
data_BeSiRuBr2
_chemical_formula_sum 'Be1 Si1 Ru1 Br2'
_cell_length_a 5.118
_cell_length_b 5.118
_cell_length_c 4.131
_cell_angle_alpha 90.00
_cell_angle_beta 90.00
_cell_angle_gamma 90.00
_space_group_name_H-M_alt 'P 1'
_space_group_IT_number 1
_space_group_name_Hall 'P 1'
loop_
_atom_site_label
_atom_site_type_symbol
_atom_site_fract_x
_atom_site_fract_y
_atom_site_fract_z
Be1 Be 0.000 0.000 0.000
Si1 Si 0.000 0.000 0.500
Ru1 Ru 0.500 0.500 0.000
Br1 Br 0.000 0.500 0.500
Br2 Br 0.500 0.000 0.500
# ΔE_f (raw)	1.02	eV/atom
# calculated total energy	-83.03	eV/cell

***

# SCAN GaHg2B, single point on PBEsol structure
data_GaHg2B
_chemical_formula_sum 'Ga1 Hg2 B1'
_cell_length_a 4.678
_cell_length_b 4.678
_cell_length_c 4.678
_cell_angle_alpha 60.00
_cell_angle_beta 60.00
_cell_angle_gamma 60.00
_space_group_name_H-M_alt 'P 1'
_space_group_IT_number 1
_space_group_name_Hall 'P 1'
loop_
_atom_site_label
_atom_site_type_symbol
_atom_site_fract_x
_atom_site_fract_y
_atom_site_fract_z
Ga1 Ga 0.000 0.000 0.000
Hg1 Hg 0.250 0.250 0.250
Hg2 Hg 0.750 0.750 0.750
B1 B 0.500 0.500 0.500
# calculated total energy	-155.85	eV/cell
# energy of formation from the pure elements	1.065	eV/atom